[1]
MnCr2Fe: PBEsol geometry, SCAN.

abc: 2.8323 3.9085 3.9177
angles: 90.00 90.00 90.00
Last column: nearest neighbours and their distance in Å.
Space group Pmmm (No. 47)
Unique sites:
Mn  0.0000  0.0000  0.0000 x1  4 Fe 2.41, 4 Cr 2.42
Cr  0.0000  0.5000  0.5000 x1  4 Cr 2.41, 4 Fe 2.42
Cr  0.5000  0.0000  0.5000 x1  4 Cr 2.41, 4 Mn 2.42
Fe  0.5000  0.5000  0.0000 x1  4 Mn 2.41, 4 Cr 2.42

M_tot: 0.727 μB/atom
crystal system: orthorhombic
energy relative to the lowest polymorph listed for this composition: 0.000 eV/atom
formation energy: -28 meV/atom

=====

[2]
Mn2CrFe: PBEsol geometry, SCAN.

abc: 2.3932 3.9049 4.6580
angles: 90.00 101.30 90.00
Last column: nearest neighbours and their distance in Å.
Space group Pm (No. 6)
Unique sites:
Mn  0.0000  0.0000  0.0000 x1  2 Fe 2.36-2.44, 4 Mn 2.39-2.42, 2 Cr 2.40
Mn  0.2990  0.5000  0.7629 x1  2 Cr 2.38-2.42, 4 Mn 2.39-2.42, 2 Fe 2.41
Cr  0.7905  0.5000  0.2590 x1  4 Mn 2.38-2.42, 2 Cr 2.39, 2 Fe 2.41
Fe  0.5303  0.0000  0.5049 x1  4 Mn 2.36-2.44, 2 Fe 2.39, 2 Cr 2.41

M_tot: 1.088 μB/atom
crystal system: monoclinic
formation energy: 102 meV/atom

=====

The calculation returns the following energy values, one per record and in order: -18.32 -18.15 eV per atom.